Record 1
A plane-wave DFT calculation with PBE was carried out for a relaxed structure of FeAuI2.

Uncorrected energy (eV per atom): -3.419
Total magnetization (μB/f.u.): 3.1
Uncorrected formation energy (eV per atom): 0.292
Energy above the most stable polymorph in this dataset (eV per atom): 0.007

Geometry as extended XYZ:
```
4
Lattice="2.028 1.171 8.384 -2.028 1.171 8.384 0.000 -2.341 8.384" Properties=species:S:1:pos:R:3 pbc="T T T"
Fe 0.000 0.000 0.000
Au 0.000 0.000 12.576
I 0.000 0.000 9.916
I 0.000 0.000 15.236
```

Record 2
A plane-wave DFT calculation with PBE was carried out for a relaxed structure of Fe2AuI.

Uncorrected energy (eV per atom): -4.632
Total magnetization (μB/f.u.): 6.0
Uncorrected formation energy (eV per atom): 0.806
Energy above the most stable polymorph in this dataset (eV per atom): 0.075

Geometry as extended XYZ:
```
8
Lattice="-2.915 2.915 6.005 2.915 -2.915 6.005 2.915 2.915 -6.005" Properties=species:S:1:pos:R:3 pbc="T T T"
Fe 4.372 1.317 -1.501
Fe 1.317 1.457 1.501
Fe -1.457 1.597 4.504
Fe 1.597 1.457 7.506
Au 0.000 0.000 0.000
Au 0.000 2.915 3.003
I 2.915 0.000 3.003
I 0.000 0.000 6.005
```

Record 3
A plane-wave DFT calculation with PBE was carried out for a relaxed structure of FeAu2I6.

Uncorrected energy (eV per atom): -2.707
Total magnetization (μB/f.u.): 2.6
Uncorrected formation energy (eV per atom): -0.005

Geometry as extended XYZ:
```
18
Lattice="7.310 0.000 0.000 0.000 7.506 0.000 -4.342 0.000 12.815" Properties=species:S:1:pos:R:3 pbc="T T T"
Fe 0.000 0.000 0.000
Fe -2.171 3.753 6.408
Au -1.133 0.918 10.672
Au 1.038 2.835 4.265
Au 1.930 4.671 8.551
Au 4.101 6.588 2.143
I -1.100 1.606 5.510
I -3.271 2.147 11.918
I -0.263 5.111 5.353
I -2.435 6.149 11.760
I 1.990 0.403 3.353
I -0.182 3.350 9.761
I 3.150 4.156 3.054
I 0.978 7.103 9.462
I 5.402 1.358 1.055
I 3.231 2.395 7.463
I 6.239 5.359 0.897
I 4.068 5.900 7.305
```

Record 4
A plane-wave DFT calculation with PBE was carried out for a relaxed structure of FeAuI6.

Uncorrected energy (eV per atom): -2.581
Total magnetization (μB/f.u.): 3.6
Uncorrected formation energy (eV per atom): 0.049

Geometry as extended XYZ:
```
8
Lattice="5.189 -5.978 0.000 5.189 5.978 0.000 -0.635 0.000 5.807" Properties=species:S:1:pos:R:3 pbc="T T T"
Fe 0.000 0.000 0.000
Au -0.317 0.000 2.904
I 3.701 4.104 1.211
I 6.043 4.104 4.596
I 4.761 0.000 1.427
I 4.983 0.000 4.381
I 3.701 -4.104 1.211
I 6.043 -4.104 4.596
```